[1]
VASP calculation (PBE) on crystalline HfMnPb at its relaxed geometry.

Output
* energy relative to the lowest polymorph listed for this composition: 0 meV per atom
* crystal system: triclinic
* energy relative to the elements: 3 meV/atom

Cell: 3.549 3.736 10.444 Å, 89.86 80.51 90.00°
Positions (direct):
1 Hf 0.181 0.499 0.143
2 Hf 0.819 0.501 0.857
3 Mn 0.277 0.000 0.943
4 Mn 0.723 0.000 0.057
5 Pb 0.412 0.003 0.660
6 Pb 0.588 0.997 0.340

***

[2]
VASP calculation (PBE) on crystalline Sm3HoTh3 at its relaxed geometry.

Output
* crystal system: hexagonal
* energy relative to the elements: 61 meV/atom

Cell: 9.564 9.564 5.861 Å, 90.00 90.00 120.00°
Positions (direct):
1 Sm 0.044 0.802 0.250
2 Sm 0.198 0.242 0.250
3 Sm 0.242 0.044 0.750
4 Sm 0.758 0.956 0.250
5 Sm 0.802 0.758 0.750
6 Sm 0.956 0.198 0.750
7 Ho 0.333 0.667 0.250
8 Ho 0.667 0.333 0.750
9 Th 0.104 0.615 0.750
10 Th 0.385 0.489 0.750
11 Th 0.489 0.104 0.250
12 Th 0.511 0.896 0.750
13 Th 0.615 0.511 0.250
14 Th 0.896 0.385 0.250

***

[3]
VASP calculation (PBE) on crystalline LiThPO at its relaxed geometry.

Output
* energy relative to the elements, uncorrected: -8.56 eV per formula unit
* crystal system: tetragonal

Cell: 3.920 3.920 8.759 Å, 90.00 90.00 90.00°
Positions (direct):
1 Li 0.250 0.750 0.000
2 Li 0.750 0.250 0.000
3 Th 0.250 0.250 0.343
4 Th 0.750 0.750 0.657
5 P 0.250 0.250 0.817
6 P 0.750 0.750 0.183
7 O 0.250 0.750 0.500
8 O 0.750 0.250 0.500